1.
Material: LiTcMo4
Method: DFT, PBE
State: optimized geometry

Cell and atoms, written as CIF:
```
data_LiTcMo4
_chemical_formula_sum 'Li4 Tc4 Mo16'
_cell_length_a 7.320
_cell_length_b 7.320
_cell_length_c 7.320
_cell_angle_alpha 90.00
_cell_angle_beta 90.00
_cell_angle_gamma 90.00
_symmetry_space_group_name_H-M 'F -4 3 m'
_symmetry_Int_Tables_number 216
_symmetry_space_group_name_Hall 'F -4 2 3'
loop_
_atom_site_label
_atom_site_type_symbol
_atom_site_fract_x
_atom_site_fract_y
_atom_site_fract_z
_atom_site_occupancy
Li1 Li 0.000 0.000 0.000 1
Tc1 Tc 0.250 0.250 0.250 1
Mo1 Mo 0.126 0.126 0.626 1
```

N(E_F)   0.5112 states/eV per atom

2.
Material: Li2TcMo
Method: DFT, PBE
State: optimized geometry

Cell and atoms, written as CIF:
```
data_Li2TcMo
_chemical_formula_sum 'Li2 Tc1 Mo1'
_cell_length_a 4.635
_cell_length_b 4.635
_cell_length_c 2.488
_cell_angle_alpha 90.00
_cell_angle_beta 90.00
_cell_angle_gamma 90.00
_symmetry_space_group_name_H-M 'P 4/m m m'
_symmetry_Int_Tables_number 123
_symmetry_space_group_name_Hall '-P 4 2'
loop_
_atom_site_label
_atom_site_type_symbol
_atom_site_fract_x
_atom_site_fract_y
_atom_site_fract_z
_atom_site_occupancy
Li1 Li 0.000 0.500 0.000 1
Tc1 Tc 0.000 0.000 0.500 1
Mo1 Mo 0.500 0.500 0.500 1
```

N(E_F)   0.5668 states/eV per atom
Polymorph energy (0 for the lowest one)   0.460 eV per atom

3.
Material: LiTcMo2
Method: DFT, PBE
State: optimized geometry

Cell and atoms, written as CIF:
```
data_LiTcMo2
_chemical_formula_sum 'Li2 Tc2 Mo4'
_cell_length_a 3.109
_cell_length_b 4.360
_cell_length_c 9.098
_cell_angle_alpha 90.00
_cell_angle_beta 90.00
_cell_angle_gamma 90.00
_symmetry_space_group_name_H-M 'C m m 2'
_symmetry_Int_Tables_number 35
loop_
_symmetry_equiv_pos_as_xyz
'x,y,z'
'-x,-y,z'
'-x,y,z'
'x,-y,z'
'x+1/2,y+1/2,z'
'-x+1/2,-y+1/2,z'
'-x+1/2,y+1/2,z'
'x+1/2,-y+1/2,z'
loop_
_atom_site_label
_atom_site_type_symbol
_atom_site_fract_x
_atom_site_fract_y
_atom_site_fract_z
_atom_site_occupancy
Li1 Li 0.000 0.000 0.000 1
Tc1 Tc 0.000 0.500 0.248 1
Mo1 Mo 0.000 0.000 0.488 1
Mo2 Mo 0.000 0.500 0.735 1
```

N(E_F)   0.6874 states/eV per atom
Polymorph energy (0 for the lowest one)   0.000 eV per atom

4.
Material: LiTcMo2
Method: DFT, PBE
State: optimized geometry

Cell and atoms, written as CIF:
```
data_LiTcMo2
_chemical_formula_sum 'Li1 Tc1 Mo2'
_cell_length_a 2.547
_cell_length_b 4.374
_cell_length_c 5.372
_cell_angle_alpha 90.00
_cell_angle_beta 90.00
_cell_angle_gamma 90.00
_symmetry_space_group_name_H-M 'P m m 2'
_symmetry_Int_Tables_number 25
loop_
_symmetry_equiv_pos_as_xyz
'x,y,z'
'-x,-y,z'
'-x,y,z'
'x,-y,z'
loop_
_atom_site_label
_atom_site_type_symbol
_atom_site_fract_x
_atom_site_fract_y
_atom_site_fract_z
_atom_site_occupancy
Li1 Li 0.000 0.000 0.000 1
Tc1 Tc 0.500 0.500 0.761 1
Mo1 Mo 0.000 0.000 0.506 1
Mo2 Mo 0.500 0.500 0.237 1
```

N(E_F)   0.7331 states/eV per atom
Polymorph energy (0 for the lowest one)   0.114 eV per atom

| no. | uncorrected energy (eV for the cell shown) | formation energy from the elements (eV/atom) |
| --- | --- | --- |
| 1 | -212.7 | 0.404 |
| 2 | -22.4 | 0.645 |
| 3 | -66.2 | 0.213 |
| 4 | -32.6 | 0.327 |